Record 1
# PBE CeHoScHg, relaxed
# Final energy (eV/atom): -4.287
# ΔE_f (eV per atom): 0.00
data_CeHoScHg
_chemical_formula_sum 'Ce4 Ho4 Sc4 Hg4'
_symmetry_space_group_name_H-M 'F -4 3 m'
_symmetry_Int_Tables_number 216
_symmetry_space_group_name_Hall 'F -4 2 3'
_cell_length_a 7.3249
_cell_length_b 7.3249
_cell_length_c 7.3249
_cell_angle_alpha 90.00
_cell_angle_beta 90.00
_cell_angle_gamma 90.00
loop_
_atom_site_label
_atom_site_type_symbol
_atom_site_fract_x
_atom_site_fract_y
_atom_site_fract_z
Ce1 Ce 0.0000 0.0000 0.0000
Ho1 Ho 0.2500 0.2500 0.2500
Sc1 Sc 0.2500 0.2500 0.7500
Hg1 Hg 0.0000 0.0000 0.5000


Record 2
# PBE BaAcAgPt, relaxed
# Final energy (eV/atom): -4.226
# ΔE_f (eV per atom): -0.50
data_BaAcAgPt
_chemical_formula_sum 'Ba4 Ac4 Ag4 Pt4'
_symmetry_space_group_name_H-M 'F -4 3 m'
_symmetry_Int_Tables_number 216
_symmetry_space_group_name_Hall 'F -4 2 3'
_cell_length_a 7.7937
_cell_length_b 7.7937
_cell_length_c 7.7937
_cell_angle_alpha 90.00
_cell_angle_beta 90.00
_cell_angle_gamma 90.00
loop_
_atom_site_label
_atom_site_type_symbol
_atom_site_fract_x
_atom_site_fract_y
_atom_site_fract_z
Ba1 Ba 0.0000 0.0000 0.0000
Ac1 Ac 0.0000 0.0000 0.5000
Ag1 Ag 0.2500 0.2500 0.7500
Pt1 Pt 0.2500 0.2500 0.2500


Record 3
# PBE Ag3Rh, relaxed
# Final energy (eV/atom): -3.790
# ΔE_f (eV per atom): 0.19
data_Ag3Rh
_chemical_formula_sum 'Ag6 Rh2'
_symmetry_space_group_name_H-M 'I m m 2'
_symmetry_Int_Tables_number 44
_cell_length_a 2.8017
_cell_length_b 9.5330
_cell_length_c 5.0435
_cell_angle_alpha 90.00
_cell_angle_beta 90.00
_cell_angle_gamma 90.00
loop_
_symmetry_equiv_pos_as_xyz
'x,y,z'
'-x,-y,z'
'-x,y,z'
'x,-y,z'
'x+1/2,y+1/2,z+1/2'
'-x+1/2,-y+1/2,z+1/2'
'-x+1/2,y+1/2,z+1/2'
'x+1/2,-y+1/2,z+1/2'
loop_
_atom_site_label
_atom_site_type_symbol
_atom_site_fract_x
_atom_site_fract_y
_atom_site_fract_z
Ag1 Ag 0.0000 0.0000 0.0000
Ag2 Ag 0.0000 0.2460 0.6715
Rh1 Rh 0.0000 0.5000 0.9961


Record 4
# PBE AcPm2ZnN4, relaxed
# Final energy (eV/atom): -6.934
data_AcPm2ZnN4
_chemical_formula_sum 'Ac4 Pm8 Zn4 N16'
_symmetry_space_group_name_H-M 'C m c m'
_symmetry_Int_Tables_number 63
_symmetry_space_group_name_Hall '-C 2c 2'
_cell_length_a 3.6001
_cell_length_b 11.9790
_cell_length_c 12.0785
_cell_angle_alpha 90.00
_cell_angle_beta 90.00
_cell_angle_gamma 90.00
loop_
_atom_site_label
_atom_site_type_symbol
_atom_site_fract_x
_atom_site_fract_y
_atom_site_fract_z
Ac1 Ac 0.0000 0.1042 0.2500
Pm1 Pm 0.0000 0.3686 0.0506
Zn1 Zn 0.0000 0.1622 0.7500
N1 N 0.0000 0.0000 0.0000
N2 N 0.0000 0.2682 0.6214
N3 N 0.0000 0.4380 0.2500


Record 5
# PBE CsB3Ru, relaxed
# Final energy (eV/atom): -2.194
# Energy above the lowest structure with this stoichiometry (meV/atom): 2938
# ΔE_f (eV per atom): 3.84
data_CsB3Ru
_chemical_formula_sum 'Cs1 B3 Ru1'
_symmetry_space_group_name_H-M 'P m -3 m'
_symmetry_Int_Tables_number 221
_symmetry_space_group_name_Hall '-P 4 2 3'
_cell_length_a 4.4499
_cell_length_b 4.4499
_cell_length_c 4.4499
_cell_angle_alpha 90.00
_cell_angle_beta 90.00
_cell_angle_gamma 90.00
loop_
_atom_site_label
_atom_site_type_symbol
_atom_site_fract_x
_atom_site_fract_y
_atom_site_fract_z
Cs1 Cs 0.0000 0.0000 0.0000
B1 B 0.0000 0.0000 0.5000
Ru1 Ru 0.5000 0.5000 0.5000


Record 6
# PBE Y2AgAs, relaxed
# Final energy (eV/atom): -5.911
# ΔE_f (eV per atom): -0.80
data_Y2AgAs
_chemical_formula_sum 'Y4 Ag2 As2'
_symmetry_space_group_name_H-M 'A m m 2'
_symmetry_Int_Tables_number 38
_cell_length_a 4.2386
_cell_length_b 4.0946
_cell_length_c 11.1016
_cell_angle_alpha 90.00
_cell_angle_beta 90.00
_cell_angle_gamma 90.00
loop_
_symmetry_equiv_pos_as_xyz
'x,y,z'
'-x,-y,z'
'-x,y,z'
'x,-y,z'
'x,y+1/2,z+1/2'
'-x,-y+1/2,z+1/2'
'-x,y+1/2,z+1/2'
'x,-y+1/2,z+1/2'
loop_
_atom_site_label
_atom_site_type_symbol
_atom_site_fract_x
_atom_site_fract_y
_atom_site_fract_z
Y1 Y 0.0000 0.0000 0.0000
Y2 Y 0.5000 0.0000 0.2819
Ag1 Ag 0.0000 0.0000 0.7238
As1 As 0.5000 0.0000 0.5509


Record 7
# PBE HfPtN2, relaxed
# Final energy (eV/atom): -8.683
# Energy above the lowest structure with this stoichiometry (meV/atom): 0
data_HfPtN2
_chemical_formula_sum 'Hf3 Pt3 N6'
_symmetry_space_group_name_H-M 'R -3 m'
_symmetry_Int_Tables_number 166
_symmetry_space_group_name_Hall '-R 3 2"'
_cell_length_a 3.2361
_cell_length_b 3.2361
_cell_length_c 18.4484
_cell_angle_alpha 90.00
_cell_angle_beta 90.00
_cell_angle_gamma 120.00
loop_
_atom_site_label
_atom_site_type_symbol
_atom_site_fract_x
_atom_site_fract_y
_atom_site_fract_z
Hf1 Hf 0.0000 0.0000 0.0000
Pt1 Pt 0.0000 0.0000 0.5000
N1 N 0.0000 0.0000 0.3931


Record 8
# PBE TlPPbO4, relaxed
# Final energy (eV/atom): -6.216
data_TlPPbO4
_chemical_formula_sum 'Tl2 P2 Pb2 O8'
_symmetry_space_group_name_H-M 'P 1 21/m 1'
_symmetry_Int_Tables_number 11
_cell_length_a 6.6001
_cell_length_b 5.7051
_cell_length_c 7.9916
_cell_angle_alpha 90.00
_cell_angle_beta 113.17
_cell_angle_gamma 90.00
loop_
_symmetry_equiv_pos_as_xyz
'x,y,z'
'-x,-y,-z'
'-x,y+1/2,-z'
'x,-y+1/2,z'
loop_
_atom_site_label
_atom_site_type_symbol
_atom_site_fract_x
_atom_site_fract_y
_atom_site_fract_z
Tl1 Tl 0.1064 0.2500 0.3937
P1 P 0.1265 0.2500 0.8558
Pb1 Pb 0.3254 0.7500 0.0859
O1 O 0.0948 0.2500 0.0390
O2 O 0.1000 0.7500 0.3080
O3 O 0.2626 0.0280 0.8452


Record 9
# PBE ThMg2Al, relaxed
# Final energy (eV/atom): -3.343
# Energy above the lowest structure with this stoichiometry (meV/atom): 333
# ΔE_f (eV per atom): 0.24
data_ThMg2Al
_chemical_formula_sum 'Th3 Mg6 Al3'
_symmetry_space_group_name_H-M 'R -3 m'
_symmetry_Int_Tables_number 166
_symmetry_space_group_name_Hall '-R 3 2"'
_cell_length_a 3.2300
_cell_length_b 3.2300
_cell_length_c 33.7149
_cell_angle_alpha 90.00
_cell_angle_beta 90.00
_cell_angle_gamma 120.00
loop_
_atom_site_label
_atom_site_type_symbol
_atom_site_fract_x
_atom_site_fract_y
_atom_site_fract_z
Th1 Th 0.0000 0.0000 0.0000
Mg1 Mg 0.0000 0.0000 0.0983
Al1 Al 0.0000 0.0000 0.5000


Record 10
# PBE LaNd6Sc, relaxed
# Final energy (eV/atom): -4.948
# Energy above the lowest structure with this stoichiometry (meV/atom): 0
# ΔE_f (eV per atom): 0.04
data_LaNd6Sc
_chemical_formula_sum 'La1 Nd6 Sc1'
_symmetry_space_group_name_H-M 'P 4/m m m'
_symmetry_Int_Tables_number 123
_symmetry_space_group_name_Hall '-P 4 2'
_cell_length_a 5.1416
_cell_length_b 5.1416
_cell_length_c 10.2969
_cell_angle_alpha 90.00
_cell_angle_beta 90.00
_cell_angle_gamma 90.00
loop_
_atom_site_label
_atom_site_type_symbol
_atom_site_fract_x
_atom_site_fract_y
_atom_site_fract_z
La1 La 0.0000 0.0000 0.0000
Nd1 Nd 0.0000 0.5000 0.2585
Nd2 Nd 0.5000 0.5000 0.0000
Nd3 Nd 0.5000 0.5000 0.5000
Sc1 Sc 0.0000 0.0000 0.5000